VASP calculation (PBE) on a relaxed structure of LaGaAu3.

Cell lengths 9.1759, 5.0708, 9.2708 Å; angles 90.00, 90.00, 90.00 degrees
Positions (direct):
La  0.2354  0.2500  0.0039
La  0.2646  0.7500  0.5039
La  0.7354  0.2500  0.4961
La  0.7646  0.7500  0.9961
Ga  0.0978  0.2500  0.6626
Ga  0.4022  0.7500  0.1626
Ga  0.5978  0.2500  0.8374
Ga  0.9022  0.7500  0.3374
Au  0.0785  0.2500  0.3816
Au  0.1026  0.7500  0.8546
Au  0.1159  0.7500  0.1678
Au  0.3841  0.2500  0.6678
Au  0.3974  0.2500  0.3546
Au  0.4215  0.7500  0.8816
Au  0.5785  0.2500  0.1184
Au  0.6026  0.7500  0.6454
Au  0.6159  0.7500  0.3322
Au  0.8841  0.2500  0.8322
Au  0.8974  0.2500  0.1454
Au  0.9215  0.7500  0.6184

Output
Polymorph energy (0 for the lowest one) ... 0 meV/atom
Formation energy ... -307 kJ/mol of formula units
Symmetry ... Pnma
VASP energy ... -20.97 eV/f.u.